[1]
Density functional theory data (GGA-PBE) for crystalline LaHoTlHg at its relaxed geometry.

```
data_LaHoTlHg
_cell_length_a 7.719
_cell_length_b 7.719
_cell_length_c 7.719
_cell_angle_alpha 90.00
_cell_angle_beta 90.00
_cell_angle_gamma 90.00
_space_group_name_H-M_alt 'F -4 3 m'
_space_group_IT_number 216
_space_group_name_Hall 'F -4 2 3'
loop_
_atom_site_label
_atom_site_type_symbol
_atom_site_fract_x
_atom_site_fract_y
_atom_site_fract_z
La1 La 0.000 0.000 0.000
Ho1 Ho 0.000 0.000 0.500
Tl1 Tl 0.250 0.250 0.250
Hg1 Hg 0.250 0.250 0.750
```



[2]
Density functional theory data (GGA-PBE) for crystalline Ac2TlGa4Pd3 at its relaxed geometry.

```
data_Ac2TlGa4Pd3
_cell_length_a 4.517
_cell_length_b 4.517
_cell_length_c 10.784
_cell_angle_alpha 90.00
_cell_angle_beta 90.00
_cell_angle_gamma 90.00
_space_group_name_H-M_alt 'P -4 m 2'
_space_group_IT_number 115
loop_
_space_group_symop_operation_xyz
'x,y,z'
'y,-x,-z'
'-x,-y,z'
'-y,x,-z'
'-x,y,z'
'-y,-x,-z'
'x,-y,z'
'y,x,-z'
loop_
_atom_site_label
_atom_site_type_symbol
_atom_site_fract_x
_atom_site_fract_y
_atom_site_fract_z
Ac1 Ac 0.000 0.500 0.240
Tl1 Tl 0.000 0.000 0.500
Ga1 Ga 0.000 0.000 0.000
Ga2 Ga 0.000 0.500 0.647
Ga3 Ga 0.500 0.500 0.000
Pd1 Pd 0.000 0.500 0.881
Pd2 Pd 0.500 0.500 0.500
```



[3]
Density functional theory data (GGA-PBE) for crystalline TlNiTe2 at its relaxed geometry.

```
data_TlNiTe2
_cell_length_a 4.627
_cell_length_b 3.283
_cell_length_c 7.493
_cell_angle_alpha 90.00
_cell_angle_beta 106.58
_cell_angle_gamma 90.00
_space_group_name_H-M_alt 'P 1 m 1'
_space_group_IT_number 6
loop_
_space_group_symop_operation_xyz
'x,y,z'
'x,-y,z'
loop_
_atom_site_label
_atom_site_type_symbol
_atom_site_fract_x
_atom_site_fract_y
_atom_site_fract_z
Tl1 Tl 0.000 0.000 0.000
Ni1 Ni 0.460 0.500 0.925
Te1 Te 0.343 0.000 0.659
Te2 Te 0.656 0.500 0.286
```



no.,raw total energy (Ry per atom)
1,-0.255
2,-0.330
3,-0.262